Entry 1:
Compound: Li4MgInIr2
Source: OQMD
Functional: PBE
Structure: optimized geometry

```
data_Li4MgInIr2
_chemical_formula_sum 'Li4 Mg1 In1 Ir2'
_cell_length_a 4.4146
_cell_length_b 4.4146
_cell_length_c 6.1996
_cell_angle_alpha 90.00
_cell_angle_beta 90.00
_cell_angle_gamma 90.00
_symmetry_space_group_name_H-M 'P -4 m 2'
_symmetry_Int_Tables_number 115
_symmetry_space_group_name_Hall 'P -4 -2'
loop_
_atom_site_label
_atom_site_type_symbol
_atom_site_fract_x
_atom_site_fract_y
_atom_site_fract_z
_atom_site_occupancy
Li1 Li 0.0000 0.0000 0.0000 1
Li2 Li 0.0000 0.5000 0.7424 1
Li3 Li 0.5000 0.5000 0.5000 1
Mg1 Mg 0.0000 0.0000 0.5000 1
In1 In 0.5000 0.5000 0.0000 1
Ir1 Ir 0.0000 0.5000 0.2552 1
```

Computed properties:
* energy: -31.44 eV per formula unit

Entry 2:
Compound: PmYPO
Source: OQMD
Functional: PBE
Structure: optimized geometry

```
data_PmYPO
_chemical_formula_sum 'Pm2 Y2 P2 O2'
_cell_length_a 4.3741
_cell_length_b 4.3741
_cell_length_c 8.7487
_cell_angle_alpha 90.00
_cell_angle_beta 90.00
_cell_angle_gamma 90.00
_symmetry_space_group_name_H-M 'P 4/n m m'
_symmetry_Int_Tables_number 129
loop_
_symmetry_equiv_pos_as_xyz
'x,y,z'
'-x,-y,-z'
'-y+1/2,x,z'
'y+1/2,-x,-z'
'-x+1/2,-y+1/2,z'
'x+1/2,y+1/2,-z'
'y,-x+1/2,z'
'-y,x+1/2,-z'
'x+1/2,-y,-z'
'-x+1/2,y,z'
'-y,-x,-z'
'y,x,z'
'-x,y+1/2,-z'
'x,-y+1/2,z'
'y+1/2,x+1/2,-z'
'-y+1/2,-x+1/2,z'
loop_
_atom_site_label
_atom_site_type_symbol
_atom_site_fract_x
_atom_site_fract_y
_atom_site_fract_z
_atom_site_occupancy
Pm1 Pm 0.2500 0.2500 0.1095 1
Y1 Y 0.2500 0.7500 0.5000 1
P1 P 0.2500 0.2500 0.6907 1
O1 O 0.2500 0.7500 0.0000 1
```

Computed properties:
* offset from the most stable computed form: 46.1 meV/atom

Entry 3:
Compound: ThSc
Source: OQMD
Functional: PBE
Structure: optimized geometry

```
data_ThSc
_chemical_formula_sum 'Th4 Sc4'
_cell_length_a 6.6001
_cell_length_b 6.6001
_cell_length_c 6.6001
_cell_angle_alpha 90.00
_cell_angle_beta 90.00
_cell_angle_gamma 90.00
_symmetry_space_group_name_H-M 'F -4 3 m'
_symmetry_Int_Tables_number 216
_symmetry_space_group_name_Hall 'F -4 2 3'
loop_
_atom_site_label
_atom_site_type_symbol
_atom_site_fract_x
_atom_site_fract_y
_atom_site_fract_z
_atom_site_occupancy
Th1 Th 0.0000 0.0000 0.0000 1
Sc1 Sc 0.2500 0.2500 0.2500 1
```

Computed properties:
* E_form: 2025 meV/atom
* offset from the most stable computed form: 1940.9 meV/atom

Entry 4:
Compound: Sm2Sc2CI2Cl3
Source: OQMD
Functional: PBE
Structure: optimized geometry

```
data_Sm2Sc2CI2Cl3
_chemical_formula_sum 'Sm4 Sc4 C2 I4 Cl6'
_cell_length_a 18.7412
_cell_length_b 3.7784
_cell_length_c 8.0061
_cell_angle_alpha 90.00
_cell_angle_beta 99.70
_cell_angle_gamma 90.00
_symmetry_space_group_name_H-M 'C 1 2/m 1'
_symmetry_Int_Tables_number 12
_symmetry_space_group_name_Hall '-C 2y'
loop_
_atom_site_label
_atom_site_type_symbol
_atom_site_fract_x
_atom_site_fract_y
_atom_site_fract_z
_atom_site_occupancy
Sm1 Sm 0.0010 0.0000 0.2867 1
Sc1 Sc 0.1217 0.5000 0.5590 1
C1 C 0.0000 0.5000 0.5000 1
I1 I 0.1716 0.0000 0.3188 1
Cl1 Cl 0.0000 0.5000 0.0000 1
Cl2 Cl 0.1504 0.0000 0.7856 1
```

Computed properties:
* offset from the most stable computed form: 0.0 meV/atom

Entry 5:
Compound: Dy2TmNi4Ge4
Source: OQMD
Functional: PBE
Structure: optimized geometry

```
data_Dy2TmNi4Ge4
_chemical_formula_sum 'Dy4 Tm2 Ni8 Ge8'
_cell_length_a 4.0876
_cell_length_b 6.6706
_cell_length_c 13.5109
_cell_angle_alpha 90.00
_cell_angle_beta 90.00
_cell_angle_gamma 90.00
_symmetry_space_group_name_H-M 'I m m m'
_symmetry_Int_Tables_number 71
_symmetry_space_group_name_Hall '-I 2 2'
loop_
_atom_site_label
_atom_site_type_symbol
_atom_site_fract_x
_atom_site_fract_y
_atom_site_fract_z
_atom_site_occupancy
Dy1 Dy 0.0000 0.0000 0.1294 1
Tm1 Tm 0.0000 0.5000 0.0000 1
Ni1 Ni 0.0000 0.1936 0.3244 1
Ge1 Ge 0.0000 0.3053 0.5000 1
Ge2 Ge 0.0000 0.5000 0.2170 1
```

Computed properties:
* energy: -62.48 eV per formula unit

Entry 6:
Compound: K2LiAuF6
Source: OQMD
Functional: PBE
Structure: optimized geometry

```
data_K2LiAuF6
_chemical_formula_sum 'K4 Li2 Au2 F12'
_cell_length_a 5.8644
_cell_length_b 5.7828
_cell_length_c 9.7025
_cell_angle_alpha 90.00
_cell_angle_beta 125.80
_cell_angle_gamma 90.00
_symmetry_space_group_name_H-M 'P 1 21/c 1'
_symmetry_Int_Tables_number 14
_symmetry_space_group_name_Hall '-P 2ybc'
loop_
_atom_site_label
_atom_site_type_symbol
_atom_site_fract_x
_atom_site_fract_y
_atom_site_fract_z
_atom_site_occupancy
K1 K 0.2350 0.0236 0.2438 1
Li1 Li 0.0000 0.0000 0.5000 1
Au1 Au 0.5000 0.0000 0.0000 1
F1 F 0.1467 0.2388 0.4626 1
F2 F 0.2651 0.7320 0.9771 1
F3 F 0.3144 0.0102 0.7524 1
```

Computed properties:
* offset from the most stable computed form: 36.3 meV/atom